A plane-wave DFT calculation with PBE was carried out for a geometry-optimized LiTm2Al4Au3 structure.

Properties
Symmetry: No. 115
Energy relative to the elements, eV per atom: -0.601
N(E_F), states/eV per atom: 0.51

Structure (POSCAR):
```
LiTm2Al4Au3
1.0
4.151 0.000 0.000
0.000 4.151 0.000
0.000 0.000 11.173
Li Tm Al Au
1 2 4 3
Direct
0.500 0.500 0.500 Li
0.500 0.000 0.248 Tm
0.000 0.500 0.752 Tm
0.500 0.500 0.000 Al
0.000 0.000 0.000 Al
0.500 0.000 0.637 Al
0.000 0.500 0.363 Al
0.000 0.000 0.500 Au
0.500 0.000 0.860 Au
0.000 0.500 0.140 Au
```